# 1
{
  "formula": "LiZrAg4",
  "functional": "PBE",
  "state": "optimized geometry",
  "cell": [[0.000, 3.871, 3.871], [3.871, 0.000, 3.871], [3.871, 3.871, 0.000]],
  "species": ["Li", "Zr", "Ag", "Ag", "Ag", "Ag"],
  "frac_coords": [[0.000, 0.000, 0.000], [0.750, 0.750, 0.750], [0.375, 0.375, 0.375], [0.375, 0.375, 0.876], [0.375, 0.876, 0.375], [0.876, 0.375, 0.375]],
  "e_form_ev_per_atom": 0.090
}

# 2
{
  "formula": "MnTlSbI2",
  "functional": "PBE",
  "state": "optimized geometry",
  "cell": [[6.220, 0.000, 0.000], [0.000, 6.220, 0.000], [0.000, 0.000, 5.842]],
  "species": ["Mn", "Tl", "Sb", "I", "I"],
  "frac_coords": [[0.000, 0.000, 0.000], [0.500, 0.500, 0.500], [0.500, 0.500, 0.000], [0.000, 0.500, 0.500], [0.500, 0.000, 0.500]],
  "formation_energy_uncorrected_ev_per_atom": 0.70,
  "e_above_lowest_polymorph_mev_per_atom": 719
}

Copy entry 2 word for word.
{
  "formula": "MnTlSbI2",
  "functional": "PBE",
  "state": "optimized geometry",
  "cell": [[6.220, 0.000, 0.000], [0.000, 6.220, 0.000], [0.000, 0.000, 5.842]],
  "species": ["Mn", "Tl", "Sb", "I", "I"],
  "frac_coords": [[0.000, 0.000, 0.000], [0.500, 0.500, 0.500], [0.500, 0.500, 0.000], [0.000, 0.500, 0.500], [0.500, 0.000, 0.500]],
  "formation_energy_uncorrected_ev_per_atom": 0.70,
  "e_above_lowest_polymorph_mev_per_atom": 719
}